Computed, not measured: KTlH6Ir after structural relaxation at the PBE level of DFT.

Space-group type = P312, No. 149
Raw total energy = -3.6612 eV per atom
Density of states at the Fermi level = 0.342 states/eV/atom

Cell lengths 5.331, 5.331, 5.540 Å; angles 90.00, 90.00, 120.00 degrees
Positions (direct):
1 K 0.000 0.000 0.000
2 Tl 0.333 0.667 0.500
3 H 0.397 0.137 0.688
4 H 0.397 0.260 0.312
5 H 0.740 0.137 0.312
6 H 0.740 0.603 0.688
7 H 0.863 0.260 0.688
8 H 0.863 0.603 0.312
9 Ir 0.667 0.333 0.500